Density functional theory data (PBE) for crystalline LaGa2Co2P at its relaxed geometry.

Formation energy from the elements = -0.51 eV per atom
Total DFT energy (no corrections) = -5.609 eV per atom
Calculated volume = 103.2 Å³ per cell

abc: 4.2634 4.2634 5.6800
angles: 90.00 90.00 90.00
Space group P4/mmm (No. 123)
Asymmetric unit:
La 0.0000 0.0000 0.0000 (multiplicity 1)
Ga 0.5000 0.5000 0.2450 (multiplicity 2)
Co 0.0000 0.5000 0.5000 (multiplicity 2)
P 0.0000 0.0000 0.5000 (multiplicity 1)


Density functional theory data (PBE) for crystalline Mg4CdW at its relaxed geometry.

Formation energy from the elements = 0.65 eV per atom
Total DFT energy (no corrections) = -2.726 eV per atom
Calculated volume = 492.1 Å³ per cell

abc: 7.8948 7.8948 7.8948
angles: 90.00 90.00 90.00
Space group F-43m (No. 216)
Asymmetric unit:
Mg 0.1244 0.1244 0.1244 (multiplicity 16)
Cd 0.0000 0.0000 0.5000 (multiplicity 4)
W 0.2500 0.2500 0.7500 (multiplicity 4)


Density functional theory data (PBE) for crystalline SrTl at its relaxed geometry.

Formation energy from the elements = -0.29 eV per atom
Total DFT energy (no corrections) = -2.314 eV per atom
Calculated volume = 602.7 Å³ per cell

abc: 10.2540 10.2540 5.7318
angles: 90.00 90.00 90.00
Space group I4/mmm (No. 139)
Asymmetric unit:
Sr 0.0000 0.2863 0.0000 (multiplicity 8)
Tl 0.1612 0.1612 0.5000 (multiplicity 8)


Density functional theory data (PBE) for crystalline ScTc2Os at its relaxed geometry.

Formation energy from the elements = 0.17 eV per atom
Total DFT energy (no corrections) = -9.402 eV per atom
E above lowest polymorph = 230 meV per atom
Calculated volume = 124.8 Å³ per cell

abc: 3.0478 4.6084 8.8890
angles: 90.00 90.00 90.00
Space group Cmm2 (No. 35)
Asymmetric unit:
Sc 0.0000 0.0000 0.0000 (multiplicity 2)
Tc 0.0000 0.0000 0.5012 (multiplicity 2)
Tc 0.0000 0.5000 0.7394 (multiplicity 2)
Os 0.0000 0.5000 0.2526 (multiplicity 2)


Density functional theory data (PBE) for crystalline RbCrCl3 at its relaxed geometry.

Raw formation energy = -1.23 eV/atom
Total DFT energy (no corrections) = -4.454 eV per atom
Calculated volume = 849.6 Å³ per cell

abc: 7.2298 18.2482 6.4397
angles: 90.00 90.00 90.00
Space group Cmcm (No. 63)
Asymmetric unit:
Rb 0.0000 0.1775 0.2500 (multiplicity 4)
Cr 0.0000 0.4069 0.2500 (multiplicity 4)
Cl 0.0000 0.5000 0.0000 (multiplicity 4)
Cl 0.2484 0.1719 0.7500 (multiplicity 8)


Density functional theory data (PBE) for crystalline VFe2B4 at its relaxed geometry.

Formation energy from the elements = -0.54 eV per atom
Total DFT energy (no corrections) = -8.081 eV per atom
Calculated volume = 110.7 Å³ per cell

abc: 2.9497 2.9837 12.5811
angles: 90.00 90.00 90.00
Space group Immm (No. 71)
Asymmetric unit:
V 0.0000 0.0000 0.0000 (multiplicity 2)
Fe 0.0000 0.5000 0.3150 (multiplicity 4)
B 0.0000 0.0000 0.4310 (multiplicity 4)
B 0.0000 0.5000 0.1463 (multiplicity 4)


Density functional theory data (PBE) for crystalline Sb3RuW at its relaxed geometry.

Raw formation energy = 1.31 eV/atom
Total DFT energy (no corrections) = -5.613 eV per atom
E above lowest polymorph = 0 meV per atom
Calculated volume = 131.1 Å³ per cell

abc: 5.0795 5.0795 5.0795
angles: 90.00 90.00 90.00
Space group Pm-3m (No. 221)
Asymmetric unit:
Sb 0.0000 0.0000 0.5000 (multiplicity 3)
Ru 0.0000 0.0000 0.0000 (multiplicity 1)
W 0.5000 0.5000 0.5000 (multiplicity 1)


Density functional theory data (PBE) for crystalline Rb2CdPd2 at its relaxed geometry.

Formation energy from the elements = 0.15 eV per atom
Total DFT energy (no corrections) = -2.497 eV per atom
E above lowest polymorph = 146 meV per atom
Calculated volume = 351.0 Å³ per cell

abc: 6.6476 6.6476 7.9432
angles: 90.00 90.00 90.00
Space group I4/mmm (No. 139)
Asymmetric unit:
Rb 0.0000 0.5000 0.2500 (multiplicity 4)
Cd 0.0000 0.0000 0.0000 (multiplicity 2)
Pd 0.0000 0.0000 0.3332 (multiplicity 4)


DOS at the Fermi energy
In order: 7.24; 18.39; 9.54; 7.50; 7.33; 9.17; 6.13; 0.77
Unit: states/eV per cell